No. 1
A geometry-optimized Na2CeNd3Se6 structure, computed with PBE.

The structure in POSCAR format:
```
Na2CeNd3Se6
1.0
7.3161 0.0006 0.0007
-3.6558 6.3372 0.0007
-1.2204 -2.1131 6.9864
Na Ce Nd Se
2 1 3 6
direct
0.3340 0.6660 0.0000
0.6660 0.3340 0.0000
0.0000 0.0000 0.0000
0.1691 0.8309 0.5000
0.8309 0.1691 0.5000
0.5000 0.5000 0.5000
0.9168 0.5855 0.7505
0.7536 0.7536 0.2533
0.0832 0.4145 0.2495
0.5855 0.9168 0.7505
0.2464 0.2464 0.7467
0.4145 0.0832 0.2495
```

The value obtained for the formation energy without anion corrections is -1.724 eV per atom. The space-group type is C2/m. The density of states at the Fermi level is 9.26 states/eV/cell.

No. 2
A geometry-optimized NaCe3Nd4Se8 structure, computed with PBE.

The structure in POSCAR format:
```
NaCe3Nd4Se8
1.0
-0.5953 -6.3659 5.5227
6.6776 3.0388 4.2226
-6.6809 4.9633 -1.4615
Na Ce Nd Se
1 3 4 8
direct
0.0000 0.5000 0.0000
0.5000 0.5000 0.0000
0.5000 0.5000 0.5000
0.0000 0.5000 0.5000
0.5000 0.0000 0.0000
0.5000 0.0000 0.5000
0.0000 0.0000 0.0000
0.0000 0.0000 0.5000
0.2471 0.7472 0.9987
0.2488 0.7475 0.4975
0.2501 0.2516 0.5001
0.7516 0.7472 0.9987
0.2484 0.2528 0.0013
0.7499 0.7484 0.4999
0.7512 0.2525 0.5025
0.7529 0.2528 0.0013
```

The value obtained for the formation energy without anion corrections is -1.825 eV per atom. The space-group type is C2/m. The density of states at the Fermi level is 22.12 states/eV/cell.

No. 3
A geometry-optimized Na3CeNd2Se6 structure, computed with PBE.

The structure in POSCAR format:
```
Na3CeNd2Se6
1.0
-0.7822 -7.2388 -1.4934
4.7671 4.1147 -3.9480
3.7467 -0.4505 6.3869
Na Ce Nd Se
3 1 2 6
direct
0.1671 0.8329 0.5000
0.8329 0.1671 0.5000
0.5000 0.5000 0.5000
0.0000 0.0000 0.0000
0.3334 0.6666 0.0000
0.6666 0.3334 0.0000
0.9213 0.5881 0.7638
0.7456 0.7456 0.2362
0.0787 0.4118 0.2362
0.5881 0.9213 0.7638
0.2544 0.2544 0.7638
0.4118 0.0787 0.2362
```

The value obtained for the formation energy without anion corrections is -1.662 eV per atom. The space-group type is C2/m. The density of states at the Fermi level is 5.04 states/eV/cell.